1.
Below is a relaxed structure of Rb2InBiCl6, with properties calculated at the GGA-PBEsol level.

```
Rb2InBiCl6
1.0
0.0000 5.5640 5.5640
5.5640 0.0000 5.5640
5.5640 5.5640 0.0000
Rb In Bi Cl
2 1 1 6
Direct
0.2500 0.2500 0.2500
0.7500 0.7500 0.7500
0.0000 0.0000 0.0000
0.5000 0.5000 0.5000
0.2576 0.2576 0.7424
0.2576 0.7424 0.2576
0.2576 0.7424 0.7424
0.7424 0.2576 0.2576
0.7424 0.2576 0.7424
0.7424 0.7424 0.2576
```

SG = Fm-3m (225)
E_form (uncorrected) = -1.323 eV/atom
ρ = 3.4 g/cm3
Energy = -3.459 eV per atom

2.
Below is a relaxed structure of BiIrCl2, with properties calculated at the GGA-PBEsol level.

```
BiIrCl2
1.0
1.6000 0.9237 9.2038
-1.6000 0.9237 9.2038
0.0000 -1.8475 9.2038
Bi Ir Cl
1 1 2
Direct
0.0000 0.0000 0.0000
0.5000 0.5000 0.5000
0.4187 0.4187 0.4187
0.5813 0.5813 0.5813
```

SG = R-3m (166)
E_form (uncorrected) = 0.222 eV/atom
ρ = 9.6 g/cm3
Energy = -4.309 eV per atom

3.
Below is a relaxed structure of BiPIrCl2, with properties calculated at the GGA-PBEsol level.

```
BiPIrCl2
1.0
5.0734 0.0000 0.0000
0.0000 5.0734 0.0000
0.0000 0.0000 5.5629
Bi P Ir Cl
1 1 1 2
Direct
0.0000 0.0000 0.0000
0.0000 0.0000 0.5000
0.5000 0.5000 0.5000
0.0000 0.5000 0.0000
0.5000 0.0000 0.0000
```

SG = P4/mmm (123)
E_form (uncorrected) = 1.379 eV/atom
ρ = 5.8 g/cm3
Energy = -3.404 eV per atom

4.
Below is a relaxed structure of K3BiCl6, with properties calculated at the GGA-PBEsol level.

```
K3BiCl6
1.0
0.0000 5.5815 5.5815
5.5815 0.0000 5.5815
5.5815 5.5815 0.0000
K Bi Cl
3 1 6
Direct
0.0000 0.0000 0.0000
0.2500 0.2500 0.2500
0.7500 0.7500 0.7500
0.5000 0.5000 0.5000
0.2603 0.2603 0.7397
0.2603 0.7397 0.2603
0.2603 0.7397 0.7397
0.7397 0.2603 0.2603
0.7397 0.2603 0.7397
0.7397 0.7397 0.2603
```

SG = Fm-3m (225)
E_form (uncorrected) = -1.503 eV/atom
ρ = 2.6 g/cm3
Energy = -3.476 eV per atom

5.
Below is a relaxed structure of K2LiBiCl6, with properties calculated at the GGA-PBEsol level.

```
K2LiBiCl6
1.0
0.0000 5.1711 5.1711
5.1711 0.0000 5.1711
5.1711 5.1711 0.0000
K Li Bi Cl
2 1 1 6
Direct
0.2500 0.2500 0.2500
0.7500 0.7500 0.7500
0.0000 0.0000 0.0000
0.5000 0.5000 0.5000
0.2416 0.2416 0.7584
0.2416 0.7584 0.2416
0.2416 0.7584 0.7584
0.7584 0.2416 0.2416
0.7584 0.2416 0.7584
0.7584 0.7584 0.2416
```

SG = Fm-3m (225)
E_form (uncorrected) = -1.525 eV/atom
ρ = 3.0 g/cm3
Energy = -3.582 eV per atom

6.
Below is a relaxed structure of K2RbBiCl6, with properties calculated at the GGA-PBEsol level.

```
K2RbBiCl6
1.0
0.0000 5.7037 5.7037
5.7037 0.0000 5.7037
5.7037 5.7037 0.0000
K Rb Bi Cl
2 1 1 6
Direct
0.2500 0.2500 0.2500
0.7500 0.7500 0.7500
0.0000 0.0000 0.0000
0.5000 0.5000 0.5000
0.2651 0.2651 0.7349
0.2651 0.7349 0.2651
0.2651 0.7349 0.7349
0.7349 0.2651 0.2651
0.7349 0.2651 0.7349
0.7349 0.7349 0.2651
```

SG = Fm-3m (225)
E_form (uncorrected) = -1.482 eV/atom
ρ = 2.6 g/cm3
Energy = -3.445 eV per atom

7.
Below is a relaxed structure of KBiSCl2, with properties calculated at the GGA-PBEsol level.

```
KBiSCl2
1.0
5.2153 0.0000 0.0000
0.0000 5.2153 0.0000
0.0000 0.0000 5.4690
K Bi S Cl
1 1 1 2
Direct
0.0000 0.0000 0.0000
0.5000 0.5000 0.5000
0.0000 0.0000 0.5000
0.0000 0.5000 0.0000
0.5000 0.0000 0.0000
```

SG = P4/mmm (123)
E_form (uncorrected) = 0.096 eV/atom
ρ = 3.9 g/cm3
Energy = -2.668 eV per atom

8.
Below is a relaxed structure of KTc2BiCl, with properties calculated at the GGA-PBEsol level.

```
KTc2BiCl
1.0
4.4332 0.0000 0.0000
0.0000 4.4332 0.0000
0.0000 0.0000 5.2759
K Tc Bi Cl
1 2 1 1
Direct
0.0000 0.0000 0.0000
0.0000 0.5000 0.5000
0.5000 0.0000 0.5000
0.5000 0.5000 0.0000
0.0000 0.0000 0.5000
```

SG = P4/mmm (123)
E_form (uncorrected) = 0.946 eV/atom
ρ = 7.7 g/cm3
Energy = -5.046 eV per atom

9.
Below is a relaxed structure of LaBiCl2O, with properties calculated at the GGA-PBEsol level.

```
LaBiCl2O
1.0
4.7671 0.0000 0.0000
0.0000 4.7671 0.0000
0.0000 0.0000 4.7117
La Bi Cl O
1 1 2 1
Direct
0.0000 0.0000 0.0000
0.5000 0.5000 0.0000
0.0000 0.5000 0.5000
0.5000 0.0000 0.5000
0.5000 0.5000 0.5000
```

SG = P4/mmm (123)
E_form (uncorrected) = -0.714 eV/atom
ρ = 6.7 g/cm3
Energy = -4.493 eV per atom

10.
Below is a relaxed structure of LaBiPCl2, with properties calculated at the GGA-PBEsol level.

```
LaBiPCl2
1.0
5.2756 0.0000 0.0000
0.0000 5.2756 0.0000
0.0000 0.0000 5.9473
La Bi P Cl
1 1 1 2
Direct
0.0000 0.0000 0.0000
0.5000 0.5000 0.5000
0.0000 0.0000 0.5000
0.0000 0.5000 0.0000
0.5000 0.0000 0.0000
```

SG = P4/mmm (123)
E_form (uncorrected) = -0.645 eV/atom
ρ = 4.5 g/cm3
Energy = -4.533 eV per atom

11.
Below is a relaxed structure of LaBiS2Cl, with properties calculated at the GGA-PBEsol level.

```
LaBiS2Cl
1.0
5.4886 0.0000 0.0000
0.0000 5.4886 0.0000
0.0000 0.0000 5.2395
La Bi S Cl
1 1 2 1
Direct
0.0000 0.0000 0.0000
0.5000 0.5000 0.5000
0.0000 0.5000 0.0000
0.5000 0.0000 0.0000
0.0000 0.0000 0.5000
```

SG = P4/mmm (123)
E_form (uncorrected) = -0.686 eV/atom
ρ = 4.7 g/cm3
Energy = -4.767 eV per atom

12.
Below is a relaxed structure of LiBiCl2, with properties calculated at the GGA-PBEsol level.

```
LiBiCl2
1.0
-3.5491 3.5491 3.6094
3.5491 -3.5491 3.6094
3.5491 3.5491 -3.6094
Li Bi Cl
2 2 4
Direct
0.0000 0.0000 0.0000
0.7500 0.2500 0.5000
0.2500 0.7500 0.5000
0.5000 0.5000 0.0000
0.0589 0.1250 0.4339
0.3750 0.9411 0.0661
0.6911 0.6250 0.5661
0.8750 0.3089 0.9339
```

SG = I-42d (122)
E_form (uncorrected) = -0.771 eV/atom
ρ = 5.2 g/cm3
Energy = -3.338 eV per atom

13.
Below is a relaxed structure of LiBiCl2, with properties calculated at the GGA-PBEsol level.

```
LiBiCl2
1.0
1.7818 1.0287 8.1928
-1.7818 1.0287 8.1928
0.0000 -2.0574 8.1928
Li Bi Cl
1 1 2
Direct
0.0000 0.0000 0.0000
0.5000 0.5000 0.5000
0.3901 0.3901 0.3901
0.6099 0.6099 0.6099
```

SG = R-3m (166)
E_form (uncorrected) = -1.180 eV/atom
ρ = 5.3 g/cm3
Energy = -3.747 eV per atom

14.
Below is a relaxed structure of Rb2LiBiCl6, with properties calculated at the GGA-PBEsol level.

```
Rb2LiBiCl6
1.0
0.0000 5.1971 5.1971
5.1971 0.0000 5.1971
5.1971 5.1971 0.0000
Rb Li Bi Cl
2 1 1 6
Direct
0.2500 0.2500 0.2500
0.7500 0.7500 0.7500
0.0000 0.0000 0.0000
0.5000 0.5000 0.5000
0.2423 0.2423 0.7577
0.2423 0.7577 0.2423
0.2423 0.7577 0.7577
0.7577 0.2423 0.2423
0.7577 0.2423 0.7577
0.7577 0.7577 0.2423
```

SG = Fm-3m (225)
E_form (uncorrected) = -1.562 eV/atom
ρ = 3.5 g/cm3
Energy = -3.597 eV per atom

15.
Below is a relaxed structure of LuBi2ClO4, with properties calculated at the GGA-PBEsol level.

```
LuBi2ClO4
1.0
3.8050 0.0000 0.0000
0.0000 3.8050 0.0000
0.0000 0.0000 8.7798
Lu Bi Cl O
1 2 1 4
Direct
0.0000 0.0000 0.0000
0.5000 0.5000 0.2805
0.5000 0.5000 0.7195
0.0000 0.0000 0.5000
0.0000 0.5000 0.1500
0.0000 0.5000 0.8500
0.5000 0.0000 0.1500
0.5000 0.0000 0.8500
```

SG = P4/mmm (123)
E_form (uncorrected) = -2.104 eV/atom
ρ = 9.0 g/cm3
Energy = -6.660 eV per atom

16.
Below is a relaxed structure of MgBiCl2, with properties calculated at the GGA-PBEsol level.

```
MgBiCl2
1.0
1.7295 0.9985 9.5362
-1.7295 0.9985 9.5362
0.0000 -1.9970 9.5362
Mg Bi Cl
1 1 2
Direct
0.0000 0.0000 0.0000
0.5000 0.5000 0.5000
0.0850 0.0850 0.0850
0.9150 0.9150 0.9150
```

SG = R-3m (166)
E_form (uncorrected) = -0.570 eV/atom
ρ = 5.1 g/cm3
Energy = -3.075 eV per atom

17.
Below is a relaxed structure of MgBiPCl2, with properties calculated at the GGA-PBEsol level.

```
MgBiPCl2
1.0
5.2244 0.0000 0.0000
0.0000 5.2244 0.0000
0.0000 0.0000 5.4980
Mg Bi P Cl
1 1 1 2
Direct
0.0000 0.0000 0.0000
0.5000 0.5000 0.5000
0.5000 0.5000 0.0000
0.0000 0.5000 0.5000
0.5000 0.0000 0.5000
```

SG = P4/mmm (123)
E_form (uncorrected) = 0.009 eV/atom
ρ = 3.7 g/cm3
Energy = -3.153 eV per atom

18.
Below is a relaxed structure of MgBiSCl2, with properties calculated at the GGA-PBEsol level.

```
MgBiSCl2
1.0
4.6495 0.0000 0.0000
0.0000 4.6495 0.0000
0.0000 0.0000 5.0944
Mg Bi S Cl
1 1 1 2
Direct
0.0000 0.0000 0.0000
0.5000 0.5000 0.5000
0.0000 0.0000 0.5000
0.0000 0.5000 0.0000
0.5000 0.0000 0.0000
```

SG = P4/mmm (123)
E_form (uncorrected) = -0.771 eV/atom
ρ = 5.1 g/cm3
Energy = -3.652 eV per atom

19.
Below is a relaxed structure of SrMgBi2Cl, with properties calculated at the GGA-PBEsol level.

```
SrMgBi2Cl
1.0
5.6559 0.0000 0.0000
0.0000 5.6559 0.0000
0.0000 0.0000 5.2668
Sr Mg Bi Cl
1 1 2 1
Direct
0.0000 0.0000 0.0000
0.5000 0.5000 0.0000
0.0000 0.5000 0.5000
0.5000 0.0000 0.5000
0.0000 0.0000 0.5000
```

SG = P4/mmm (123)
E_form (uncorrected) = -0.184 eV/atom
ρ = 5.6 g/cm3
Energy = -3.011 eV per atom

20.
Below is a relaxed structure of MnBiCl2, with properties calculated at the GGA-PBEsol level.

```
MnBiCl2
1.0
0.0000 3.4824 3.4824
3.4824 0.0000 3.4824
3.4824 3.4824 0.0000
Mn Bi Cl
1 1 2
Direct
0.0000 0.0000 0.0000
0.5000 0.5000 0.5000
0.2500 0.2500 0.2500
0.7500 0.7500 0.7500
```

SG = Fm-3m (225)
E_form (uncorrected) = 0.186 eV/atom
ρ = 6.6 g/cm3
Energy = -4.329 eV per atom

21.
Below is a relaxed structure of MnReBi2Cl, with properties calculated at the GGA-PBEsol level.

```
MnReBi2Cl
1.0
5.2917 0.0000 0.0000
0.0000 5.2917 0.0000
0.0000 0.0000 4.1981
Mn Re Bi Cl
1 1 2 1
Direct
0.0000 0.0000 0.0000
0.5000 0.5000 0.5000
0.0000 0.5000 0.0000
0.5000 0.0000 0.0000
0.0000 0.0000 0.5000
```

SG = P4/mmm (123)
E_form (uncorrected) = 1.152 eV/atom
ρ = 9.8 g/cm3
Energy = -5.583 eV per atom

22.
Below is a relaxed structure of BiMoPd2Cl, with properties calculated at the GGA-PBEsol level.

```
BiMoPd2Cl
1.0
5.0109 0.0000 0.0000
0.0000 5.0109 0.0000
0.0000 0.0000 5.2373
Bi Mo Pd Cl
1 1 2 1
Direct
0.0000 0.0000 0.0000
0.5000 0.5000 0.5000
0.0000 0.5000 0.0000
0.5000 0.0000 0.0000
0.0000 0.0000 0.5000
```

SG = P4/mmm (123)
E_form (uncorrected) = 1.264 eV/atom
ρ = 7.0 g/cm3
Energy = -4.732 eV per atom

23.
Below is a relaxed structure of SiBiMoCl2, with properties calculated at the GGA-PBEsol level.

```
SiBiMoCl2
1.0
4.5570 0.0000 0.0000
0.0000 4.5570 0.0000
0.0000 0.0000 5.7816
Si Bi Mo Cl
1 1 1 2
Direct
0.0000 0.0000 0.0000
0.0000 0.0000 0.5000
0.5000 0.5000 0.5000
0.0000 0.5000 0.0000
0.5000 0.0000 0.0000
```

SG = P4/mmm (123)
E_form (uncorrected) = 0.652 eV/atom
ρ = 5.6 g/cm3
Energy = -4.512 eV per atom

24.
Below is a relaxed structure of BiPbN2Cl, with properties calculated at the GGA-PBEsol level.

```
BiPbN2Cl
1.0
4.3272 0.0000 0.0000
0.0000 4.3272 0.0000
0.0000 0.0000 5.2120
Bi Pb N Cl
1 1 2 1
Direct
0.0000 0.0000 0.0000
0.5000 0.5000 0.0000
0.0000 0.5000 0.5000
0.5000 0.0000 0.5000
0.5000 0.5000 0.5000
```

SG = P4/mmm (123)
E_form (uncorrected) = 1.855 eV/atom
ρ = 8.2 g/cm3
Energy = -3.615 eV per atom

25.
Below is a relaxed structure of NbBiS2Cl, with properties calculated at the GGA-PBEsol level.

```
NbBiS2Cl
1.0
4.8038 0.0000 0.0000
0.0000 4.8038 0.0000
0.0000 0.0000 4.7806
Nb Bi S Cl
1 1 2 1
Direct
0.0000 0.0000 0.0000
0.5000 0.5000 0.5000
0.0000 0.5000 0.0000
0.5000 0.0000 0.0000
0.0000 0.0000 0.5000
```

SG = P4/mmm (123)
E_form (uncorrected) = -0.322 eV/atom
ρ = 6.0 g/cm3
Energy = -5.499 eV per atom

26.
Below is a relaxed structure of NiBi2Cl, with properties calculated at the GGA-PBEsol level.

```
NiBi2Cl
1.0
-3.1747 3.1747 5.9198
3.1747 -3.1747 5.9198
3.1747 3.1747 -5.9198
Ni Bi Cl
2 4 2
Direct
0.0000 0.0000 0.0000
0.7500 0.2500 0.5000
0.0523 0.6250 0.9273
0.3750 0.3023 0.4273
0.6977 0.1250 0.0727
0.8750 0.9477 0.5727
0.2500 0.7500 0.5000
0.5000 0.5000 0.0000
```

SG = I-42d (122)
E_form (uncorrected) = 0.105 eV/atom
ρ = 7.1 g/cm3
Energy = -4.080 eV per atom

27.
Below is a relaxed structure of BiCl2O, with properties calculated at the GGA-PBEsol level.

```
BiCl2O
1.0
-4.9029 4.9029 2.0793
4.9029 -4.9029 2.0793
4.9029 4.9029 -2.0793
Bi Cl O
2 4 2
Direct
0.0000 0.0000 0.0000
0.7500 0.2500 0.5000
0.3750 0.0194 0.1444
0.7694 0.6250 0.6444
0.8750 0.2306 0.8556
0.9806 0.1250 0.3555
0.2500 0.7500 0.5000
0.5000 0.5000 0.0000
```

SG = I-42d (122)
E_form (uncorrected) = -0.578 eV/atom
ρ = 4.9 g/cm3
Energy = -3.965 eV per atom